{
  "formula": "La7Y3Tm",
  "functional": "PBE-GGA",
  "state": "optimized geometry",
  "lattice": [[6.620, 0.000, 0.000], [-0.714, 6.766, 0.000], [-1.296, -1.795, 8.686]],
  "species": ["La", "La", "La", "La", "La", "La", "La", "Y", "Y", "Y", "Tm"],
  "frac_coords": [[0.000, 0.000, 0.000], [0.054, 0.715, 0.647], [0.196, 0.232, 0.706], [0.485, 0.727, 0.917], [0.515, 0.273, 0.083], [0.804, 0.768, 0.294], [0.946, 0.285, 0.353], [0.328, 0.925, 0.328], [0.500, 0.500, 0.500], [0.672, 0.075, 0.672], [0.000, 0.500, 0.000]],
  "polymorph_energy_ev_per_atom": 0.000,
  "space_group": "No. 2"
}

---

{
  "formula": "La10Y4Tm",
  "functional": "PBE-GGA",
  "state": "optimized geometry",
  "lattice": [[-5.049, 5.049, 5.438], [5.049, -5.049, 5.438], [5.049, 5.049, -5.438]],
  "species": ["La", "La", "La", "La", "La", "La", "La", "La", "La", "La", "Y", "Y", "Y", "Y", "Tm"],
  "frac_coords": [[0.051, 0.404, 0.123], [0.073, 0.949, 0.353], [0.250, 0.750, 0.500], [0.280, 0.927, 0.877], [0.404, 0.280, 0.353], [0.596, 0.720, 0.647], [0.720, 0.073, 0.123], [0.750, 0.250, 0.500], [0.927, 0.051, 0.647], [0.949, 0.596, 0.877], [0.230, 0.442, 0.672], [0.442, 0.770, 0.212], [0.558, 0.230, 0.788], [0.770, 0.558, 0.328], [0.000, 0.000, 0.000]],
  "space_group": "No. 87"
}

---

{
  "formula": "La2YTm",
  "functional": "PBE-GGA",
  "state": "optimized geometry",
  "lattice": [[5.235, 0.000, 0.000], [0.000, 5.235, 0.000], [0.000, 0.000, 4.961]],
  "species": ["La", "La", "Y", "Tm"],
  "frac_coords": [[0.000, 0.500, 0.000], [0.500, 0.000, 0.000], [0.000, 0.000, 0.500], [0.500, 0.500, 0.500]],
  "polymorph_energy_ev_per_atom": 0.010,
  "space_group": "No. 123"
}

---

{
  "formula": "La3Y4Tm3",
  "functional": "PBE-GGA",
  "state": "optimized geometry",
  "lattice": [[3.716, 0.000, 0.000], [0.000, 6.759, 6.758], [0.000, -6.759, 6.758]],
  "species": ["La", "La", "La", "Y", "Y", "Y", "Y", "Tm", "Tm", "Tm"],
  "frac_coords": [[0.000, 0.000, 0.000], [0.500, 0.334, 0.822], [0.500, 0.822, 0.334], [0.500, 0.207, 0.207], [0.500, 0.451, 0.451], [0.500, 0.696, 0.946], [0.500, 0.946, 0.696], [0.000, 0.156, 0.499], [0.000, 0.499, 0.156], [0.000, 0.652, 0.652]],
  "space_group": "No. 38"
}

---

{
  "formula": "La2YTm3",
  "functional": "PBE-GGA",
  "state": "optimized geometry",
  "lattice": [[6.686, 0.000, 0.000], [-0.627, 6.666, 0.000], [-1.203, -1.303, 8.835]],
  "species": ["La", "La", "La", "La", "Y", "Y", "Tm", "Tm", "Tm", "Tm", "Tm", "Tm"],
  "frac_coords": [[0.125, 0.127, 0.375], [0.374, 0.376, 0.126], [0.626, 0.624, 0.874], [0.875, 0.873, 0.625], [0.418, 0.085, 0.751], [0.582, 0.915, 0.249], [0.081, 0.416, 0.750], [0.164, 0.832, 0.998], [0.333, 0.665, 0.502], [0.667, 0.335, 0.498], [0.836, 0.168, 0.002], [0.919, 0.584, 0.250]],
  "polymorph_energy_ev_per_atom": 0.000,
  "space_group": "No. 2"
}

---

{
  "formula": "La4Y2Tm5",
  "functional": "PBE-GGA",
  "state": "optimized geometry",
  "lattice": [[9.598, -2.846, 0.000], [9.598, 2.846, 0.000], [-0.087, 0.000, 6.680]],
  "species": ["La", "La", "La", "La", "Y", "Y", "Tm", "Tm", "Tm", "Tm", "Tm"],
  "frac_coords": [[0.022, 0.022, 0.291], [0.307, 0.307, 0.927], [0.693, 0.693, 0.073], [0.978, 0.978, 0.709], [0.401, 0.401, 0.440], [0.599, 0.599, 0.560], [0.130, 0.130, 0.878], [0.210, 0.210, 0.404], [0.500, 0.500, 0.000], [0.790, 0.790, 0.596], [0.870, 0.870, 0.122]],
  "polymorph_energy_ev_per_atom": 0.000,
  "space_group": "No. 12"
}

---

DFT total energy across the listed records, respectively: -5.1819 -4.9555 -5.1751 -5.3122 -4.8786 -4.9090 eV per atom.
Formation energy across the listed records, respectively: 0.1231 0.3513 0.0225 0.0931 0.0769 0.0906 eV/atom.